[1]
! Mg2N, optimized geometry, DFT PBE; values from VASP
! Crystal system: monoclinic
&SYSTEM
  ibrav = 0, nat = 12, ntyp = 2
/
ATOMIC_SPECIES
Mg 24.30 Mg.upf
N 14.01 N.upf
ATOMIC_POSITIONS crystal
Mg 0.082 0.000 0.349
Mg 0.202 0.500 0.107
Mg 0.298 0.000 0.893
Mg 0.418 0.500 0.651
Mg 0.582 0.500 0.349
Mg 0.702 0.000 0.107
Mg 0.798 0.500 0.893
Mg 0.918 0.000 0.651
N 0.079 0.500 0.830
N 0.421 0.000 0.170
N 0.579 0.000 0.830
N 0.921 0.500 0.170
CELL_PARAMETERS angstrom
6.550 0.000 0.000
0.000 3.213 0.000
-3.019 0.000 8.291

[2]
! Mg2N, optimized geometry, DFT PBE; values from VASP
! Crystal system: trigonal
&SYSTEM
  ibrav = 0, nat = 3, ntyp = 2
/
ATOMIC_SPECIES
Mg 24.30 Mg.upf
N 14.01 N.upf
ATOMIC_POSITIONS crystal
Mg 0.333 0.667 0.197
Mg 0.667 0.333 0.803
N 0.000 0.000 0.000
CELL_PARAMETERS angstrom
3.220 0.000 0.000
-1.610 2.789 0.000
0.000 0.000 5.314

[3]
! Mg3N2, optimized geometry, DFT PBE; values from VASP
! Crystal system: trigonal
&SYSTEM
  ibrav = 0, nat = 10, ntyp = 2
/
ATOMIC_SPECIES
Mg 24.30 Mg.upf
N 14.01 N.upf
ATOMIC_POSITIONS crystal
Mg 0.112 0.385 0.790
Mg 0.210 0.888 0.615
Mg 0.385 0.790 0.112
Mg 0.615 0.210 0.888
Mg 0.790 0.112 0.385
Mg 0.888 0.615 0.210
N 0.000 0.000 0.000
N 0.204 0.204 0.204
N 0.500 0.500 0.500
N 0.796 0.796 0.796
CELL_PARAMETERS angstrom
2.759 1.593 4.912
-2.759 1.593 4.912
0.000 -3.186 4.912

[4]
! NaMg3N, optimized geometry, DFT PBE; values from VASP
! Crystal system: cubic
&SYSTEM
  ibrav = 0, nat = 5, ntyp = 3
/
ATOMIC_SPECIES
Na 22.99 Na.upf
Mg 24.30 Mg.upf
N 14.01 N.upf
ATOMIC_POSITIONS crystal
Na 0.000 0.000 0.000
Mg 0.000 0.000 0.500
Mg 0.000 0.500 0.000
Mg 0.500 0.000 0.000
N 0.500 0.500 0.500
CELL_PARAMETERS angstrom
5.145 0.000 0.000
0.000 5.145 0.000
0.000 0.000 5.145

[5]
! Na2MgN, optimized geometry, DFT PBE; values from VASP
! Crystal system: tetragonal
&SYSTEM
  ibrav = 0, nat = 16, ntyp = 3
/
ATOMIC_SPECIES
Na 22.99 Na.upf
Mg 24.30 Mg.upf
N 14.01 N.upf
ATOMIC_POSITIONS crystal
Na 0.057 0.250 0.125
Na 0.250 0.557 0.375
Na 0.250 0.943 0.875
Na 0.443 0.250 0.625
Na 0.557 0.750 0.625
Na 0.750 0.057 0.875
Na 0.750 0.443 0.375
Na 0.943 0.750 0.125
Mg 0.000 0.000 0.500
Mg 0.000 0.500 0.750
Mg 0.500 0.000 0.250
Mg 0.500 0.500 0.000
N 0.000 0.000 0.000
N 0.000 0.500 0.250
N 0.500 0.000 0.750
N 0.500 0.500 0.500
CELL_PARAMETERS angstrom
10.037 0.000 0.000
0.000 10.037 0.000
0.000 0.000 3.947

[6]
! NaMgN2, optimized geometry, DFT PBE; values from VASP
! Crystal system: tetragonal
&SYSTEM
  ibrav = 0, nat = 16, ntyp = 3
/
ATOMIC_SPECIES
Na 22.99 Na.upf
Mg 24.30 Mg.upf
N 14.01 N.upf
ATOMIC_POSITIONS crystal
Na 0.000 0.000 0.000
Na 0.000 0.500 0.250
Na 0.500 0.000 0.750
Na 0.500 0.500 0.500
Mg 0.000 0.000 0.500
Mg 0.000 0.500 0.750
Mg 0.500 0.000 0.250
Mg 0.500 0.500 0.000
N 0.111 0.250 0.625
N 0.250 0.611 0.875
N 0.250 0.889 0.375
N 0.389 0.250 0.125
N 0.611 0.750 0.125
N 0.750 0.111 0.375
N 0.750 0.389 0.875
N 0.889 0.750 0.625
CELL_PARAMETERS angstrom
4.170 0.000 0.000
0.000 4.170 0.000
0.000 0.000 13.292

[7]
! NaMg3N, optimized geometry, DFT PBE; values from VASP
! Crystal system: cubic
&SYSTEM
  ibrav = 0, nat = 5, ntyp = 3
/
ATOMIC_SPECIES
Na 22.99 Na.upf
Mg 24.30 Mg.upf
N 14.01 N.upf
ATOMIC_POSITIONS crystal
Na 0.000 0.000 0.000
Mg 0.000 0.500 0.500
Mg 0.500 0.000 0.500
Mg 0.500 0.500 0.000
N 0.500 0.500 0.500
CELL_PARAMETERS angstrom
4.495 0.000 0.000
0.000 4.495 0.000
0.000 0.000 4.495

[8]
! NaMgN2, optimized geometry, DFT PBE; values from VASP
! Crystal system: trigonal
&SYSTEM
  ibrav = 0, nat = 12, ntyp = 3
/
ATOMIC_SPECIES
Na 22.99 Na.upf
Mg 24.30 Mg.upf
N 14.01 N.upf
ATOMIC_POSITIONS crystal
Na 0.000 0.000 0.000
Na 0.333 0.667 0.667
Na 0.667 0.333 0.333
Mg 0.000 0.000 0.500
Mg 0.333 0.667 0.167
Mg 0.667 0.333 0.833
N 0.000 0.000 0.117
N 0.000 0.000 0.883
N 0.333 0.667 0.549
N 0.333 0.667 0.784
N 0.667 0.333 0.216
N 0.667 0.333 0.451
CELL_PARAMETERS angstrom
3.422 0.000 0.000
-1.711 2.963 0.000
0.000 0.000 19.134

[9]
! Na2MgN, optimized geometry, DFT PBE; values from VASP
! Crystal system: cubic
&SYSTEM
  ibrav = 0, nat = 16, ntyp = 3
/
ATOMIC_SPECIES
Na 22.99 Na.upf
Mg 24.30 Mg.upf
N 14.01 N.upf
ATOMIC_POSITIONS crystal
Na 0.250 0.250 0.250
Na 0.250 0.250 0.750
Na 0.250 0.750 0.250
Na 0.250 0.750 0.750
Na 0.750 0.250 0.250
Na 0.750 0.250 0.750
Na 0.750 0.750 0.250
Na 0.750 0.750 0.750
Mg 0.000 0.000 0.000
Mg 0.000 0.500 0.500
Mg 0.500 0.000 0.500
Mg 0.500 0.500 0.000
N 0.000 0.000 0.500
N 0.000 0.500 0.000
N 0.500 0.000 0.000
N 0.500 0.500 0.500
CELL_PARAMETERS angstrom
6.563 0.000 0.000
0.000 6.563 0.000
0.000 0.000 6.563

[10]
! NaMg2N, optimized geometry, DFT PBE; values from VASP
! Crystal system: tetragonal
&SYSTEM
  ibrav = 0, nat = 16, ntyp = 3
/
ATOMIC_SPECIES
Na 22.99 Na.upf
Mg 24.30 Mg.upf
N 14.01 N.upf
ATOMIC_POSITIONS crystal
Na 0.000 0.250 0.375
Na 0.000 0.750 0.625
Na 0.500 0.250 0.125
Na 0.500 0.750 0.875
Mg 0.000 0.000 0.000
Mg 0.000 0.500 0.000
Mg 0.250 0.250 0.750
Mg 0.250 0.750 0.250
Mg 0.500 0.000 0.500
Mg 0.500 0.500 0.500
Mg 0.750 0.250 0.750
Mg 0.750 0.750 0.250
N 0.000 0.250 0.875
N 0.000 0.750 0.125
N 0.500 0.250 0.625
N 0.500 0.750 0.375
CELL_PARAMETERS angstrom
6.515 0.000 0.000
0.000 6.515 0.000
0.000 0.000 9.255

[11]
! NaMgNb2N, optimized geometry, DFT PBE; values from VASP
! Crystal system: tetragonal
&SYSTEM
  ibrav = 0, nat = 5, ntyp = 4
/
ATOMIC_SPECIES
Na 22.99 Na.upf
Mg 24.30 Mg.upf
Nb 92.91 Nb.upf
N 14.01 N.upf
ATOMIC_POSITIONS crystal
Na 0.000 0.000 0.000
Mg 0.000 0.000 0.500
Nb 0.000 0.500 0.000
Nb 0.500 0.000 0.000
N 0.500 0.500 0.500
CELL_PARAMETERS angstrom
4.750 0.000 0.000
0.000 4.750 0.000
0.000 0.000 4.628

[12]
! Na4MgNp3N8, optimized geometry, DFT PBE; values from VASP
! Crystal system: trigonal
&SYSTEM
  ibrav = 0, nat = 16, ntyp = 4
/
ATOMIC_SPECIES
Na 22.99 Na.upf
Mg 24.30 Mg.upf
Np 237.00 Np.upf
N 14.01 N.upf
ATOMIC_POSITIONS crystal
Na 0.000 0.000 0.000
Na 0.000 0.500 0.500
Na 0.500 0.000 0.500
Na 0.500 0.500 0.000
Mg 0.500 0.500 0.500
Np 0.000 0.000 0.500
Np 0.000 0.500 0.000
Np 0.500 0.000 0.000
N 0.202 0.740 0.740
N 0.229 0.229 0.229
N 0.260 0.260 0.798
N 0.260 0.798 0.260
N 0.740 0.202 0.740
N 0.740 0.740 0.202
N 0.771 0.771 0.771
N 0.798 0.260 0.260
CELL_PARAMETERS angstrom
3.403 1.965 5.626
-3.403 1.965 5.626
0.000 -3.930 5.626

Number 1: E_form (uncorrected) -0.46 eV per atom. Number 2: E_form (uncorrected) -0.48 eV per atom. Number 3: E_form (uncorrected) -0.63 eV per atom. Number 4: E_form (uncorrected) 1.75 eV per atom. Number 5: E_form (uncorrected) 0.04 eV per atom. Number 6: E_form (uncorrected) 0.67 eV per atom. Number 7: E_form (uncorrected) -0.06 eV per atom. Number 8: E_form (uncorrected) 0.82 eV per atom. Number 9: E_form (uncorrected) 0.79 eV per atom. Number 10: E_form (uncorrected) -0.17 eV per atom. Number 11: E_form (uncorrected) 2.84 eV per atom. Number 12: E_form (uncorrected) -0.75 eV per atom.